(1)
# V2ReTeN (PBE-GGA, optimized geometry)
# crystal system	tetragonal
# ΔE_f (raw)	65	kJ per mole of atoms
# raw total energy	-7.757	eV per atom
# calculated volume	92.9	Å³/cell
data_V2ReTeN
_cell_length_a 4.952
_cell_length_b 4.952
_cell_length_c 3.788
_cell_angle_alpha 90.00
_cell_angle_beta 90.00
_cell_angle_gamma 90.00
_symmetry_space_group_name_H-M 'P 4/m m m'
_symmetry_Int_Tables_number 123
_symmetry_space_group_name_Hall '-P 4 2'
loop_
_atom_site_label
_atom_site_fract_x
_atom_site_fract_y
_atom_site_fract_z
V1 0.000 0.500 0.000
Re1 0.000 0.000 0.000
Te1 0.500 0.500 0.500
N1 0.000 0.000 0.500

***

(2)
# ReTeWN2 (PBE-GGA, optimized geometry)
# crystal system	tetragonal
# ΔE_f (raw)	123	kJ per mole of atoms
# raw total energy	-7.768	eV per atom
# ΔE to the lowest computed polymorph	0.069	eV per atom
# calculated volume	88.3	Å³/cell
data_ReTeWN2
_cell_length_a 3.899
_cell_length_b 3.899
_cell_length_c 5.811
_cell_angle_alpha 90.00
_cell_angle_beta 90.00
_cell_angle_gamma 90.00
_symmetry_space_group_name_H-M 'P 4/m m m'
_symmetry_Int_Tables_number 123
_symmetry_space_group_name_Hall '-P 4 2'
loop_
_atom_site_label
_atom_site_fract_x
_atom_site_fract_y
_atom_site_fract_z
Re1 0.000 0.000 0.000
Te1 0.000 0.000 0.500
W1 0.500 0.500 0.500
N1 0.000 0.500 0.000